1.
Density functional theory data (PBE) for an optimized crystal structure of LiPr2Y. Values from VASP.

Calculated values
E above lowest polymorph = 7 meV per atom
formation enthalpy at 0 K = 0.069 eV/atom
space group = R3m
total magnetization = 0.00 μB per cell
ρ = 4.8 g/cm3

Structure (Quantum ESPRESSO input):
```
&SYSTEM
  ibrav = 0, nat = 4, ntyp = 3
/
ATOMIC_SPECIES
Li 6.94 Li.upf
Pr 140.91 Pr.upf
Y 88.91 Y.upf
CELL_PARAMETERS angstrom
1.802 1.040 11.534
-1.802 1.040 11.534
0.000 -2.081 11.534
ATOMIC_POSITIONS angstrom
Li 0.000 0.000 0.000
Pr 0.000 0.000 20.239
Pr 0.000 0.000 25.907
Y 0.000 0.000 5.778
```

2.
Density functional theory data (PBE) for an optimized crystal structure of LiPr4Y5. Values from VASP.

Calculated values
formation enthalpy at 0 K = 0.033 eV/atom
space group = P4/mmm
total magnetization = 0.00 μB per cell
ρ = 5.2 g/cm3

Structure (Quantum ESPRESSO input):
```
&SYSTEM
  ibrav = 0, nat = 10, ntyp = 3
/
ATOMIC_SPECIES
Li 6.94 Li.upf
Pr 140.91 Pr.upf
Y 88.91 Y.upf
CELL_PARAMETERS angstrom
3.669 0.000 0.000
0.000 3.669 0.000
0.000 0.000 24.197
ATOMIC_POSITIONS angstrom
Li 0.000 0.000 0.000
Pr 0.000 0.000 4.443
Pr 0.000 0.000 9.551
Pr 0.000 0.000 14.646
Pr 0.000 0.000 19.754
Y 1.835 1.835 1.918
Y 1.835 1.835 7.000
Y 1.835 1.835 12.098
Y 1.835 1.835 17.196
Y 1.835 1.835 22.279
```

3.
Density functional theory data (PBE) for an optimized crystal structure of Li6PrZn6. Values from VASP.

Calculated values
formation enthalpy at 0 K = -0.199 eV/atom
space group = Immm
total magnetization = 0.00 μB per cell
ρ = 4.3 g/cm3

Structure (Quantum ESPRESSO input):
```
&SYSTEM
  ibrav = 0, nat = 13, ntyp = 3
/
ATOMIC_SPECIES
Li 6.94 Li.upf
Pr 140.91 Pr.upf
Zn 65.41 Zn.upf
CELL_PARAMETERS angstrom
-2.591 4.600 4.660
2.591 -4.600 4.660
2.591 4.600 -4.660
ATOMIC_POSITIONS angstrom
Li 2.591 1.319 0.000
Li 0.000 0.000 1.424
Li 0.000 2.665 0.000
Li 0.000 6.535 0.000
Li 0.000 0.000 7.895
Li 0.000 3.281 4.660
Pr 0.000 0.000 4.660
Zn 1.296 2.300 -2.330
Zn 1.296 -2.300 2.330
Zn 2.591 0.000 2.645
Zn -1.296 2.300 2.330
Zn 1.296 2.300 2.330
Zn 0.000 4.600 2.014
```

4.
Density functional theory data (PBE) for an optimized crystal structure of Li5PrZn2. Values from VASP.

Calculated values
formation enthalpy at 0 K = -0.066 eV/atom
space group = Immm
total magnetization = 0.00 μB per cell
ρ = 3.1 g/cm3

Structure (Quantum ESPRESSO input):
```
&SYSTEM
  ibrav = 0, nat = 8, ntyp = 3
/
ATOMIC_SPECIES
Li 6.94 Li.upf
Pr 140.91 Pr.upf
Zn 65.41 Zn.upf
CELL_PARAMETERS angstrom
-1.967 4.155 5.085
1.967 -4.155 5.085
1.967 4.155 -5.085
ATOMIC_POSITIONS angstrom
Li 0.000 0.000 0.000
Li 1.967 1.563 -1.571
Li 1.967 1.563 1.571
Li 0.000 2.592 3.514
Li 0.000 2.592 6.655
Pr 0.000 4.155 0.000
Zn 0.000 0.000 2.680
Zn 0.000 0.000 7.489
```